# 1
# RbCaCe2Br8

A relaxed RbCaCe2Br8 crystal (PBE-GGA, Alexandria).

The total energy comes out at -4.14 eV per atom.

a = 7.038 Å, b = 7.336 Å, c = 9.109 Å
α = 89.93°, β = 89.98°, γ = 88.08°
Atoms (fractional coordinates):
Rb  0.000  0.000  0.000
Ca  0.000  0.000  0.500
Ce  0.500  0.500  0.266
Ce  0.500  0.500  0.734
Br  0.249  0.834  0.283
Br  0.249  0.834  0.717
Br  0.253  0.330  0.500
Br  0.280  0.371  0.000
Br  0.720  0.629  0.000
Br  0.747  0.670  0.500
Br  0.751  0.166  0.283
Br  0.751  0.166  0.717

# 2
# Rb2CaCeBr6

A relaxed Rb2CaCeBr6 crystal (PBE-GGA, Alexandria).

The total energy comes out at -3.71 eV per atom.

a = 8.126 Å, b = 11.712 Å, c = 8.479 Å
α = 90.00°, β = 90.00°, γ = 90.00°
Atoms (fractional coordinates):
Rb  0.250  0.024  0.211
Rb  0.250  0.476  0.211
Rb  0.750  0.524  0.789
Rb  0.750  0.976  0.789
Ca  0.250  0.750  0.764
Ca  0.750  0.250  0.236
Ce  0.250  0.250  0.731
Ce  0.750  0.750  0.269
Br  0.003  0.750  0.011
Br  0.007  0.250  0.468
Br  0.250  0.504  0.770
Br  0.250  0.996  0.770
Br  0.493  0.250  0.468
Br  0.497  0.750  0.011
Br  0.503  0.250  0.989
Br  0.507  0.750  0.532
Br  0.750  0.004  0.230
Br  0.750  0.496  0.230
Br  0.993  0.750  0.532
Br  0.997  0.250  0.989

# 3
# CaBr2Cl

A relaxed CaBr2Cl crystal (PBE-GGA, Alexandria).

The total energy comes out at -3.29 eV per atom. Its energy above the most stable polymorph in this dataset is 0.138 eV/atom.

a = 4.280 Å, b = 5.244 Å, c = 7.655 Å
α = 74.49°, β = 74.84°, γ = 73.20°
Atoms (fractional coordinates):
Ca  0.000  0.000  0.000
Br  0.080  0.569  0.775
Br  0.600  0.087  0.720
Cl  0.421  0.931  0.221

# 4
# CaBr2Cl

A relaxed CaBr2Cl crystal (PBE-GGA, Alexandria).

The total energy comes out at -3.05 eV per atom. Its energy above the most stable polymorph in this dataset is 0.377 eV/atom.

a = 4.421 Å, b = 4.421 Å, c = 26.434 Å
α = 90.00°, β = 90.00°, γ = 120.00°
Atoms (fractional coordinates):
Ca  0.000  0.000  0.000
Ca  0.333  0.667  0.667
Ca  0.667  0.333  0.333
Br  0.000  0.000  0.389
Br  0.000  0.000  0.611
Br  0.333  0.667  0.055
Br  0.333  0.667  0.278
Br  0.667  0.333  0.722
Br  0.667  0.333  0.945
Cl  0.000  0.000  0.500
Cl  0.333  0.667  0.167
Cl  0.667  0.333  0.833

# 5
# Ca5Br3Cl12

A relaxed Ca5Br3Cl12 crystal (PBE-GGA, Alexandria).

The total energy comes out at -3.34 eV per atom.

a = 15.444 Å, b = 15.444 Å, c = 15.444 Å
α = 109.47°, β = 109.47°, γ = 109.47°
Atoms (fractional coordinates):
Ca  0.000  0.000  0.000
Ca  0.000  0.000  0.500
Ca  0.000  0.500  0.000
Ca  0.000  0.500  0.500
Ca  0.125  0.750  0.875
Ca  0.125  0.875  0.250
Ca  0.250  0.125  0.875
Ca  0.250  0.625  0.375
Ca  0.375  0.250  0.625
Ca  0.375  0.625  0.750
Ca  0.500  0.000  0.000
Ca  0.500  0.000  0.500
Ca  0.500  0.500  0.000
Ca  0.500  0.500  0.500
Ca  0.625  0.375  0.250
Ca  0.625  0.750  0.375
Ca  0.750  0.375  0.625
Ca  0.750  0.875  0.125
Ca  0.875  0.125  0.750
Ca  0.875  0.250  0.125
Br  0.125  0.250  0.375
Br  0.125  0.375  0.750
Br  0.250  0.375  0.125
Br  0.250  0.875  0.625
Br  0.375  0.125  0.250
Br  0.375  0.750  0.125
Br  0.625  0.250  0.875
Br  0.625  0.875  0.750
Br  0.750  0.125  0.375
Br  0.750  0.625  0.875
Br  0.875  0.625  0.250
Br  0.875  0.750  0.625
Cl  0.009  0.181  0.127
Cl  0.009  0.328  0.882
Cl  0.054  0.681  0.672
Cl  0.054  0.873  0.382
Cl  0.118  0.627  0.446
Cl  0.118  0.991  0.672
Cl  0.127  0.009  0.181
Cl  0.127  0.618  0.946
Cl  0.172  0.181  0.554
Cl  0.172  0.491  0.618
Cl  0.181  0.127  0.009
Cl  0.181  0.554  0.172
Cl  0.319  0.328  0.946
Cl  0.319  0.491  0.373
Cl  0.328  0.882  0.009
Cl  0.328  0.946  0.319
Cl  0.373  0.319  0.491
Cl  0.373  0.554  0.882
Cl  0.382  0.054  0.873
Cl  0.382  0.828  0.509
Cl  0.446  0.118  0.627
Cl  0.446  0.828  0.819
Cl  0.491  0.373  0.319
Cl  0.491  0.618  0.172
Cl  0.509  0.382  0.828
Cl  0.509  0.627  0.681
Cl  0.554  0.172  0.181
Cl  0.554  0.882  0.373
Cl  0.618  0.172  0.491
Cl  0.618  0.946  0.127
Cl  0.627  0.446  0.118
Cl  0.627  0.681  0.509
Cl  0.672  0.054  0.681
Cl  0.672  0.118  0.991
Cl  0.681  0.509  0.627
Cl  0.681  0.672  0.054
Cl  0.819  0.446  0.828
Cl  0.819  0.873  0.991
Cl  0.828  0.509  0.382
Cl  0.828  0.819  0.446
Cl  0.873  0.382  0.054
Cl  0.873  0.991  0.819
Cl  0.882  0.009  0.328
Cl  0.882  0.373  0.554
Cl  0.946  0.127  0.618
Cl  0.946  0.319  0.328
Cl  0.991  0.672  0.118
Cl  0.991  0.819  0.873

# 6
# Ca2BrCl

A relaxed Ca2BrCl crystal (PBE-GGA, Alexandria).

The total energy comes out at -3.12 eV per atom. Its energy above the most stable polymorph in this dataset is 0.276 eV/atom.

a = 4.129 Å, b = 4.129 Å, c = 15.302 Å
α = 90.00°, β = 90.00°, γ = 90.00°
Atoms (fractional coordinates):
Ca  0.000  0.000  0.000
Ca  0.000  0.500  0.250
Ca  0.500  0.000  0.750
Ca  0.500  0.500  0.500
Br  0.000  0.000  0.500
Br  0.500  0.500  0.000
Cl  0.000  0.500  0.750
Cl  0.500  0.000  0.250

# 7
# CaBr2Cl

A relaxed CaBr2Cl crystal (PBE-GGA, Alexandria).

The total energy comes out at -3.41 eV per atom. Its energy above the most stable polymorph in this dataset is 0.016 eV/atom.

a = 5.418 Å, b = 7.752 Å, c = 8.305 Å
α = 96.76°, β = 108.80°, γ = 110.33°
Atoms (fractional coordinates):
Ca  0.000  0.000  0.000
Ca  0.408  0.164  0.647
Br  0.115  0.903  0.320
Br  0.285  0.421  0.155
Br  0.491  0.502  0.482
Br  0.706  0.576  0.835
Cl  0.464  0.000  0.926
Cl  0.928  0.148  0.705

# 8
# CaBrCl4

A relaxed CaBrCl4 crystal (PBE-GGA, Alexandria).

The total energy comes out at -2.25 eV per atom.

a = 5.892 Å, b = 5.892 Å, c = 5.892 Å
α = 60.00°, β = 60.00°, γ = 60.00°
Atoms (fractional coordinates):
Ca  0.000  0.000  0.000
Br  0.250  0.250  0.250
Cl  0.123  0.626  0.626
Cl  0.626  0.123  0.626
Cl  0.626  0.626  0.123
Cl  0.626  0.626  0.626

# 9
# CaBr2Cl

A relaxed CaBr2Cl crystal (PBE-GGA, Alexandria).

The total energy comes out at -3.24 eV per atom. Its energy above the most stable polymorph in this dataset is 0.186 eV/atom.

a = 5.499 Å, b = 9.917 Å, c = 4.453 Å
α = 90.00°, β = 90.00°, γ = 90.00°
Atoms (fractional coordinates):
Ca  0.000  0.000  0.000
Ca  0.500  0.500  0.000
Br  0.000  0.214  0.500
Br  0.000  0.786  0.500
Br  0.500  0.286  0.500
Br  0.500  0.714  0.500
Cl  0.000  0.500  0.000
Cl  0.500  0.000  0.000

# 10
# CaBr2Cl

A relaxed CaBr2Cl crystal (PBE-GGA, Alexandria).

The total energy comes out at -3.42 eV per atom. Its energy above the most stable polymorph in this dataset is 0.013 eV/atom.

a = 4.281 Å, b = 7.721 Å, c = 9.118 Å
α = 95.93°, β = 103.46°, γ = 90.62°
Atoms (fractional coordinates):
Ca  0.149  0.423  0.300
Ca  0.851  0.577  0.700
Br  0.000  0.500  0.000
Br  0.369  0.856  0.725
Br  0.500  0.000  0.000
Br  0.631  0.144  0.275
Cl  0.300  0.368  0.606
Cl  0.700  0.632  0.394

# 11
# CaBr2Cl

A relaxed CaBr2Cl crystal (PBE-GGA, Alexandria).

The total energy comes out at -3.43 eV per atom. Its energy above the most stable polymorph in this dataset is 0.000 eV/atom.

a = 18.930 Å, b = 4.372 Å, c = 7.529 Å
α = 90.00°, β = 113.13°, γ = 90.00°
Atoms (fractional coordinates):
Ca  0.000  0.000  0.000
Ca  0.047  0.500  0.528
Ca  0.500  0.500  0.000
Ca  0.547  0.000  0.528
Br  0.102  0.500  0.960
Br  0.117  0.000  0.400
Br  0.235  0.500  0.845
Br  0.327  0.500  0.702
Br  0.602  0.000  0.960
Br  0.617  0.500  0.400
Br  0.735  0.000  0.845
Br  0.827  0.000  0.702
Cl  0.447  0.000  0.139
Cl  0.465  0.500  0.593
Cl  0.947  0.500  0.139
Cl  0.965  0.000  0.593

# 12
# CaBr2Cl

A relaxed CaBr2Cl crystal (PBE-GGA, Alexandria).

The total energy comes out at -3.41 eV per atom. Its energy above the most stable polymorph in this dataset is 0.020 eV/atom.

a = 14.404 Å, b = 5.411 Å, c = 10.236 Å
α = 90.00°, β = 129.86°, γ = 90.00°
Atoms (fractional coordinates):
Ca  0.114  0.000  0.445
Ca  0.386  0.500  0.555
Ca  0.614  0.500  0.445
Ca  0.886  0.000  0.555
Br  0.051  0.000  0.941
Br  0.144  0.000  0.749
Br  0.356  0.500  0.251
Br  0.449  0.500  0.059
Br  0.551  0.500  0.941
Br  0.644  0.500  0.749
Br  0.856  0.000  0.251
Br  0.949  0.000  0.059
Cl  0.155  0.500  0.451
Cl  0.345  0.000  0.549
Cl  0.655  0.000  0.451
Cl  0.845  0.500  0.549

# 13
# Ca2BrCl

A relaxed Ca2BrCl crystal (PBE-GGA, Alexandria).

The total energy comes out at -2.55 eV per atom. Its energy above the most stable polymorph in this dataset is 0.848 eV/atom.

a = 7.987 Å, b = 7.987 Å, c = 7.987 Å
α = 90.00°, β = 90.00°, γ = 90.00°
Atoms (fractional coordinates):
Ca  0.000  0.000  0.000
Ca  0.000  0.500  0.500
Ca  0.250  0.250  0.250
Ca  0.250  0.750  0.750
Ca  0.500  0.000  0.500
Ca  0.500  0.500  0.000
Ca  0.750  0.250  0.750
Ca  0.750  0.750  0.250
Br  0.250  0.250  0.750
Br  0.250  0.750  0.250
Br  0.750  0.250  0.250
Br  0.750  0.750  0.750
Cl  0.000  0.000  0.500
Cl  0.000  0.500  0.000
Cl  0.500  0.000  0.000
Cl  0.500  0.500  0.500

# 14
# Ca2BrCl2

A relaxed Ca2BrCl2 crystal (PBE-GGA, Alexandria).

The total energy comes out at -3.63 eV per atom. Its energy above the most stable polymorph in this dataset is 0.025 eV/atom.

a = 7.876 Å, b = 7.876 Å, c = 4.231 Å
α = 90.00°, β = 90.00°, γ = 90.00°
Atoms (fractional coordinates):
Ca  0.160  0.340  0.000
Ca  0.340  0.840  0.000
Ca  0.660  0.160  0.000
Ca  0.840  0.660  0.000
Br  0.000  0.000  0.000
Br  0.500  0.500  0.000
Cl  0.155  0.655  0.500
Cl  0.345  0.155  0.500
Cl  0.655  0.845  0.500
Cl  0.845  0.345  0.500

# 15
# Ca2BrCl2

A relaxed Ca2BrCl2 crystal (PBE-GGA, Alexandria).

The total energy comes out at -3.66 eV per atom. Its energy above the most stable polymorph in this dataset is 0.000 eV/atom.

a = 4.749 Å, b = 4.749 Å, c = 13.159 Å
α = 90.00°, β = 90.00°, γ = 90.00°
Atoms (fractional coordinates):
Ca  0.000  0.000  0.135
Ca  0.000  0.000  0.865
Ca  0.500  0.500  0.365
Ca  0.500  0.500  0.635
Br  0.000  0.000  0.500
Br  0.500  0.500  0.000
Cl  0.000  0.500  0.250
Cl  0.000  0.500  0.750
Cl  0.500  0.000  0.250
Cl  0.500  0.000  0.750

# 16
# Ca2BrCl

A relaxed Ca2BrCl crystal (PBE-GGA, Alexandria).

The total energy comes out at -3.19 eV per atom. Its energy above the most stable polymorph in this dataset is 0.213 eV/atom.

a = 6.610 Å, b = 6.610 Å, c = 13.234 Å
α = 90.00°, β = 90.00°, γ = 90.00°
Atoms (fractional coordinates):
Ca  0.229  0.250  0.125
Ca  0.250  0.729  0.375
Ca  0.250  0.771  0.875
Ca  0.271  0.250  0.625
Ca  0.729  0.750  0.625
Ca  0.750  0.229  0.875
Ca  0.750  0.271  0.375
Ca  0.771  0.750  0.125
Br  0.000  0.000  0.500
Br  0.000  0.500  0.750
Br  0.500  0.000  0.250
Br  0.500  0.500  0.000
Cl  0.000  0.000  0.000
Cl  0.000  0.500  0.250
Cl  0.500  0.000  0.750
Cl  0.500  0.500  0.500

# 17
# Ca2BrCl

A relaxed Ca2BrCl crystal (PBE-GGA, Alexandria).

The total energy comes out at -3.21 eV per atom. Its energy above the most stable polymorph in this dataset is 0.194 eV/atom.

a = 3.756 Å, b = 7.381 Å, c = 9.098 Å
α = 90.00°, β = 90.00°, γ = 90.00°
Atoms (fractional coordinates):
Ca  0.000  0.000  0.242
Ca  0.000  0.000  0.758
Ca  0.500  0.500  0.242
Ca  0.500  0.500  0.758
Br  0.000  0.500  0.500
Br  0.500  0.000  0.500
Cl  0.000  0.500  0.000
Cl  0.500  0.000  0.000

# 18
# CaBr2Cl

A relaxed CaBr2Cl crystal (PBE-GGA, Alexandria).

The total energy comes out at -3.41 eV per atom. Its energy above the most stable polymorph in this dataset is 0.022 eV/atom.

a = 11.721 Å, b = 4.282 Å, c = 11.404 Å
α = 90.00°, β = 114.94°, γ = 90.00°
Atoms (fractional coordinates):
Ca  0.000  0.000  0.000
Ca  0.082  0.500  0.352
Ca  0.500  0.500  0.000
Ca  0.582  0.000  0.352
Br  0.104  0.500  0.903
Br  0.197  0.000  0.260
Br  0.244  0.500  0.746
Br  0.344  0.500  0.598
Br  0.604  0.000  0.903
Br  0.697  0.500  0.260
Br  0.744  0.000  0.746
Br  0.844  0.000  0.598
Cl  0.002  0.000  0.442
Cl  0.413  0.000  0.090
Cl  0.502  0.500  0.442
Cl  0.913  0.500  0.090

# 19
# CaBr2Cl

A relaxed CaBr2Cl crystal (PBE-GGA, Alexandria).

The total energy comes out at -3.40 eV per atom. Its energy above the most stable polymorph in this dataset is 0.025 eV/atom.

a = 5.428 Å, b = 7.637 Å, c = 7.728 Å
α = 74.36°, β = 71.76°, γ = 71.25°
Atoms (fractional coordinates):
Ca  0.119  0.123  0.165
Ca  0.881  0.877  0.835
Br  0.000  0.500  0.000
Br  0.073  0.761  0.462
Br  0.500  0.500  0.500
Br  0.927  0.239  0.538
Cl  0.341  0.942  0.863
Cl  0.659  0.058  0.137

# 20
# Ca2BrCl

A relaxed Ca2BrCl crystal (PBE-GGA, Alexandria).

The total energy comes out at -3.20 eV per atom. Its energy above the most stable polymorph in this dataset is 0.200 eV/atom.

a = 8.837 Å, b = 3.850 Å, c = 6.680 Å
α = 90.00°, β = 105.08°, γ = 90.00°
Atoms (fractional coordinates):
Ca  0.245  0.000  0.239
Ca  0.255  0.500  0.761
Ca  0.745  0.500  0.239
Ca  0.755  0.000  0.761
Br  0.000  0.000  0.500
Br  0.500  0.500  0.500
Cl  0.000  0.500  0.000
Cl  0.500  0.000  0.000

DOS(E_F) for every record listed, in sequence, given in states/eV per cell: 16.49; 26.54; 0.70; 0.00; 41.68; 5.03; 0.00; 7.46; 1.94; 0.00; 0.00; 0.00; 8.50; 2.87; 2.21; 5.17; 3.25; 0.00; 0.00; 4.44.
Formation energy from raw total energies for every record listed, in sequence, given in eV/atom: -1.7879; -1.7193; -1.4915; -1.2526; -1.4810; -1.2437; -1.6136; -0.4042; -1.4440; -1.6171; -1.6297; -1.6092; -0.6718; -1.7611; -1.7866; -1.3073; -1.3262; -1.6076; -1.6045; -1.3197.